# ReSb2Ru

A geometry-optimized ReSb2Ru structure (GGA-PBE, the Alexandria database).

a b c (Å): 5.9819 5.9819 11.7923
angles (deg): 90.00 90.00 90.00
Sites, in units of the cell vectors:
Re (0.0000, 0.0000, 0.0000)
Re (0.0000, 0.5000, 0.2500)
Re (0.5000, 0.0000, 0.7500)
Re (0.5000, 0.5000, 0.5000)
Sb (0.2461, 0.2500, 0.6250)
Sb (0.2500, 0.7461, 0.8750)
Sb (0.2500, 0.7539, 0.3750)
Sb (0.2539, 0.2500, 0.1250)
Sb (0.7461, 0.7500, 0.1250)
Sb (0.7500, 0.2461, 0.3750)
Sb (0.7500, 0.2539, 0.8750)
Sb (0.7539, 0.7500, 0.6250)
Ru (0.0000, 0.0000, 0.5000)
Ru (0.0000, 0.5000, 0.7500)
Ru (0.5000, 0.0000, 0.2500)
Ru (0.5000, 0.5000, 0.0000)

=====

# ReSb2Ru

A geometry-optimized ReSb2Ru structure (GGA-PBE, the Alexandria database).

a b c (Å): 3.0222 3.0222 9.1702
angles (deg): 90.00 90.00 90.00
Sites, in units of the cell vectors:
Re (0.0000, 0.0000, 0.0000)
Sb (0.0000, 0.0000, 0.3868)
Sb (0.5000, 0.5000, 0.7892)
Ru (0.5000, 0.5000, 0.1793)

=====

# ReSb2Ru

A geometry-optimized ReSb2Ru structure (GGA-PBE, the Alexandria database).

a b c (Å): 3.2806 3.2806 6.5100
angles (deg): 90.00 90.00 90.00
Sites, in units of the cell vectors:
Re (0.0000, 0.0000, 0.0000)
Sb (0.5000, 0.5000, 0.2487)
Sb (0.5000, 0.5000, 0.7513)
Ru (0.0000, 0.0000, 0.5000)

=====

Number 1: energy relative to the lowest polymorph listed for this composition 734 meV per atom. Number 2: energy relative to the lowest polymorph listed for this composition 0 meV per atom. Number 3: energy relative to the lowest polymorph listed for this composition 144 meV per atom.